Record 1
A plane-wave DFT calculation with GGA-PBEsol was carried out for a geometry-optimized ReNi2Ir structure.

Results
DOS(E_F)	4.61	states/eV per cell
symmetry	No. 99
distance to the lowest polymorph of the same formula	80	meV per atom
spin magnetization	0.0	μB/f.u.

Cell lengths 2.6712, 2.6712, 6.9788 Å; angles 90.00, 90.00, 90.00 degrees
Sites, in units of the cell vectors:
Re  0.0000  0.0000  0.0000
Ni  0.0000  0.0000  0.5270
Ni  0.5000  0.5000  0.7549
Ir  0.5000  0.5000  0.2720

Record 2
A plane-wave DFT calculation with GGA-PBEsol was carried out for a geometry-optimized Re2NiIr structure.

Results
DOS(E_F)	1.95	states/eV per cell
symmetry	No. 25
distance to the lowest polymorph of the same formula	0	meV per atom
spin magnetization	0.0	μB/f.u.

Cell lengths 2.6831, 4.2674, 4.6936 Å; angles 90.00, 90.00, 90.00 degrees
Sites, in units of the cell vectors:
Re  0.0000  0.0000  0.0000
Re  0.0000  0.5000  0.3303
Ni  0.5000  0.0000  0.4928
Ir  0.5000  0.5000  0.8132

Record 3
A plane-wave DFT calculation with GGA-PBEsol was carried out for a geometry-optimized ReNi2Ir structure.

Results
DOS(E_F)	4.44	states/eV per cell
symmetry	No. 12
distance to the lowest polymorph of the same formula	100	meV per atom
spin magnetization	0.0	μB/f.u.

Cell lengths 4.4412, 4.4412, 4.5552 Å; angles 99.94, 99.94, 34.64 degrees
Sites, in units of the cell vectors:
Re  0.0000  0.0000  0.0000
Ni  0.2493  0.2493  0.7607
Ni  0.7507  0.7507  0.2393
Ir  0.5000  0.5000  0.5000

Record 4
A plane-wave DFT calculation with GGA-PBEsol was carried out for a geometry-optimized ReNi2Ir structure.

Results
DOS(E_F)	3.35	states/eV per cell
symmetry	No. 119
distance to the lowest polymorph of the same formula	0	meV per atom
spin magnetization	0.0	μB/f.u.

Cell lengths 4.5345, 4.5345, 4.5345 Å; angles 132.78, 132.78, 69.00 degrees
Sites, in units of the cell vectors:
Re  0.0000  0.0000  0.0000
Ni  0.2500  0.7500  0.5000
Ni  0.5000  0.5000  0.0000
Ir  0.7500  0.2500  0.5000

Record 5
A plane-wave DFT calculation with GGA-PBEsol was carried out for a geometry-optimized Re2NiIr structure.

Results
DOS(E_F)	3.70	states/eV per cell
symmetry	No. 12
distance to the lowest polymorph of the same formula	176	meV per atom
spin magnetization	0.0	μB/f.u.

Cell lengths 4.6648, 4.6648, 4.5810 Å; angles 99.52, 99.52, 33.56 degrees
Sites, in units of the cell vectors:
Re  0.2488  0.2488  0.2514
Re  0.7512  0.7512  0.7486
Ni  0.0000  0.0000  0.5000
Ir  0.5000  0.5000  0.0000

Record 6
A plane-wave DFT calculation with GGA-PBEsol was carried out for a geometry-optimized ReNi2Ir structure.

Results
DOS(E_F)	3.72	states/eV per cell
symmetry	No. 8
distance to the lowest polymorph of the same formula	49	meV per atom
spin magnetization	0.0	μB/f.u.

Cell lengths 4.5304, 4.5304, 4.4075 Å; angles 100.12, 100.12, 33.95 degrees
Sites, in units of the cell vectors:
Re  0.0000  0.0000  0.0000
Ni  0.4975  0.4975  0.4875
Ni  0.7498  0.7498  0.2590
Ir  0.2475  0.2475  0.7539

Record 7
A plane-wave DFT calculation with GGA-PBEsol was carried out for a geometry-optimized ReNi2Ir structure.

Results
DOS(E_F)	3.29	states/eV per cell
symmetry	No. 25
distance to the lowest polymorph of the same formula	22	meV per atom
spin magnetization	0.0	μB/f.u.

Cell lengths 2.6598, 3.6732, 5.1013 Å; angles 90.00, 90.00, 90.00 degrees
Sites, in units of the cell vectors:
Re  0.0000  0.0000  0.0000
Ni  0.0000  0.0000  0.5213
Ni  0.5000  0.5000  0.7471
Ir  0.5000  0.5000  0.2556

Record 8
A plane-wave DFT calculation with GGA-PBEsol was carried out for a geometry-optimized ReNi2Ir structure.

Results
DOS(E_F)	3.23	states/eV per cell
symmetry	No. 139
distance to the lowest polymorph of the same formula	111	meV per atom
spin magnetization	0.0	μB/f.u.

Cell lengths 4.4963, 4.4963, 4.4963 Å; angles 131.78, 131.78, 70.57 degrees
Sites, in units of the cell vectors:
Re  0.0000  0.0000  0.0000
Ni  0.2500  0.7500  0.5000
Ni  0.7500  0.2500  0.5000
Ir  0.5000  0.5000  0.0000

Record 9
A plane-wave DFT calculation with GGA-PBEsol was carried out for a geometry-optimized NiIrRh2 structure.

Results
DOS(E_F)	5.14	states/eV per cell
symmetry	No. 139
distance to the lowest polymorph of the same formula	0	meV per atom
spin magnetization	0.0	μB/f.u.

Cell lengths 4.5827, 4.5827, 4.5827 Å; angles 132.32, 132.32, 69.72 degrees
Sites, in units of the cell vectors:
Ni  0.0000  0.0000  0.0000
Ir  0.5000  0.5000  0.0000
Rh  0.2500  0.7500  0.5000
Rh  0.7500  0.2500  0.5000

Record 10
A plane-wave DFT calculation with GGA-PBEsol was carried out for a geometry-optimized Ni2IrRh structure.

Results
DOS(E_F)	4.97	states/eV per cell
symmetry	No. 47
distance to the lowest polymorph of the same formula	51	meV per atom
spin magnetization	0.0	μB/f.u.

Cell lengths 2.6286, 3.5197, 5.2499 Å; angles 90.00, 90.00, 90.00 degrees
Sites, in units of the cell vectors:
Ni  0.0000  0.0000  0.2468
Ni  0.0000  0.0000  0.7532
Ir  0.5000  0.5000  0.0000
Rh  0.5000  0.5000  0.5000

Record 11
A plane-wave DFT calculation with GGA-PBEsol was carried out for a geometry-optimized NiIrRh2 structure.

Results
DOS(E_F)	5.87	states/eV per cell
symmetry	No. 160
distance to the lowest polymorph of the same formula	33	meV per atom
spin magnetization	0.5	μB/f.u.

Cell lengths 8.6099, 8.6099, 8.6099 Å; angles 17.78, 17.78, 17.78 degrees
Sites, in units of the cell vectors:
Ni  0.0000  0.0000  0.0000
Ir  0.2531  0.2531  0.2531
Rh  0.4999  0.4999  0.4999
Rh  0.7470  0.7470  0.7470

Record 12
A plane-wave DFT calculation with GGA-PBEsol was carried out for a geometry-optimized Ni2IrRh structure.

Results
DOS(E_F)	4.91	states/eV per cell
symmetry	No. 139
distance to the lowest polymorph of the same formula	53	meV per atom
spin magnetization	0.0	μB/f.u.

Cell lengths 4.3902, 4.3902, 4.3902 Å; angles 129.96, 129.96, 73.47 degrees
Sites, in units of the cell vectors:
Ni  0.2500  0.7500  0.5000
Ni  0.7500  0.2500  0.5000
Ir  0.0000  0.0000  0.0000
Rh  0.5000  0.5000  0.0000

Record 13
A plane-wave DFT calculation with GGA-PBEsol was carried out for a geometry-optimized NiIrRh2 structure.

Results
DOS(E_F)	5.67	states/eV per cell
symmetry	No. 25
distance to the lowest polymorph of the same formula	27	meV per atom
spin magnetization	0.0	μB/f.u.

Cell lengths 2.6632, 3.6895, 5.2686 Å; angles 90.00, 90.00, 90.00 degrees
Sites, in units of the cell vectors:
Ni  0.0000  0.0000  0.0000
Ir  0.5000  0.5000  0.7586
Rh  0.0000  0.0000  0.5050
Rh  0.5000  0.5000  0.2455

Record 14
A plane-wave DFT calculation with GGA-PBEsol was carried out for a geometry-optimized NiIrRh2 structure.

Results
DOS(E_F)	4.96	states/eV per cell
symmetry	No. 12
distance to the lowest polymorph of the same formula	12	meV per atom
spin magnetization	0.0	μB/f.u.

Cell lengths 4.5647, 4.5647, 4.5168 Å; angles 99.92, 99.92, 33.96 degrees
Sites, in units of the cell vectors:
Ni  0.0000  0.0000  0.0000
Ir  0.5000  0.5000  0.5000
Rh  0.2509  0.2509  0.7527
Rh  0.7491  0.7491  0.2473

Record 15
A plane-wave DFT calculation with GGA-PBEsol was carried out for a geometry-optimized Ni2IrRh structure.

Results
DOS(E_F)	4.60	states/eV per cell
symmetry	No. 119
distance to the lowest polymorph of the same formula	0	meV per atom
spin magnetization	0.0	μB/f.u.

Cell lengths 4.5055, 4.5055, 4.5055 Å; angles 132.75, 132.75, 69.05 degrees
Sites, in units of the cell vectors:
Ni  0.0000  0.0000  0.0000
Ni  0.7500  0.2500  0.5000
Ir  0.2500  0.7500  0.5000
Rh  0.5000  0.5000  0.0000

Record 16
A plane-wave DFT calculation with GGA-PBEsol was carried out for a geometry-optimized NiIrRh2 structure.

Results
DOS(E_F)	4.97	states/eV per cell
symmetry	No. 47
distance to the lowest polymorph of the same formula	9	meV per atom
spin magnetization	0.0	μB/f.u.

Cell lengths 2.6687, 3.7091, 5.2284 Å; angles 90.00, 90.00, 90.00 degrees
Sites, in units of the cell vectors:
Ni  0.0000  0.0000  0.0000
Ir  0.0000  0.0000  0.5000
Rh  0.5000  0.5000  0.2453
Rh  0.5000  0.5000  0.7547

Record 17
A plane-wave DFT calculation with GGA-PBEsol was carried out for a geometry-optimized NiIrRh2 structure.

Results
DOS(E_F)	6.67	states/eV per cell
symmetry	No. 65
distance to the lowest polymorph of the same formula	49	meV per atom
spin magnetization	1.2	μB/f.u.

Cell lengths 4.5656, 4.5656, 2.6584 Å; angles 90.00, 90.00, 109.52 degrees
Sites, in units of the cell vectors:
Ni  0.0000  0.0000  0.0000
Ir  0.5000  0.5000  0.0000
Rh  0.0000  0.5000  0.5000
Rh  0.5000  0.0000  0.5000

Record 18
A plane-wave DFT calculation with GGA-PBEsol was carried out for a geometry-optimized Ni2IrRh structure.

Results
DOS(E_F)	5.94	states/eV per cell
symmetry	No. 25
distance to the lowest polymorph of the same formula	32	meV per atom
spin magnetization	0.0	μB/f.u.

Cell lengths 2.6352, 3.6475, 5.0757 Å; angles 90.00, 90.00, 90.00 degrees
Sites, in units of the cell vectors:
Ni  0.0000  0.0000  0.0000
Ni  0.5000  0.5000  0.2409
Ir  0.5000  0.5000  0.7520
Rh  0.0000  0.0000  0.4926

Record 19
A plane-wave DFT calculation with GGA-PBEsol was carried out for a geometry-optimized Ni2IrRh structure.

Results
DOS(E_F)	5.31	states/eV per cell
symmetry	No. 65
distance to the lowest polymorph of the same formula	52	meV per atom
spin magnetization	0.0	μB/f.u.

Cell lengths 4.3873, 4.3873, 2.6298 Å; angles 90.00, 90.00, 106.41 degrees
Sites, in units of the cell vectors:
Ni  0.0000  0.5000  0.0000
Ni  0.5000  0.0000  0.0000
Ir  0.0000  0.0000  0.5000
Rh  0.5000  0.5000  0.5000

Record 20
A plane-wave DFT calculation with GGA-PBEsol was carried out for a geometry-optimized NiIrRh2 structure.

Results
DOS(E_F)	5.60	states/eV per cell
symmetry	No. 123
distance to the lowest polymorph of the same formula	22	meV per atom
spin magnetization	0.4	μB/f.u.

Cell lengths 2.6728, 2.6728, 7.2386 Å; angles 90.00, 90.00, 90.00 degrees
Sites, in units of the cell vectors:
Ni  0.0000  0.0000  0.0000
Ir  0.0000  0.0000  0.5000
Rh  0.5000  0.5000  0.2405
Rh  0.5000  0.5000  0.7595

Record 21
A plane-wave DFT calculation with GGA-PBEsol was carried out for a geometry-optimized Ni2IrRh structure.

Results
DOS(E_F)	5.23	states/eV per cell
symmetry	No. 123
distance to the lowest polymorph of the same formula	57	meV per atom
spin magnetization	0.0	μB/f.u.

Cell lengths 2.6344, 2.6344, 7.0020 Å; angles 90.00, 90.00, 90.00 degrees
Sites, in units of the cell vectors:
Ni  0.0000  0.0000  0.2494
Ni  0.0000  0.0000  0.7506
Ir  0.5000  0.5000  0.0000
Rh  0.5000  0.5000  0.5000

Record 22
A plane-wave DFT calculation with GGA-PBEsol was carried out for a geometry-optimized Ni2IrRh structure.

Results
DOS(E_F)	6.28	states/eV per cell
symmetry	No. 99
distance to the lowest polymorph of the same formula	53	meV per atom
spin magnetization	0.4	μB/f.u.

Cell lengths 2.6533, 2.6533, 6.9106 Å; angles 90.00, 90.00, 90.00 degrees
Sites, in units of the cell vectors:
Ni  0.0000  0.0000  0.0000
Ni  0.5000  0.5000  0.2266
Ir  0.5000  0.5000  0.7500
Rh  0.0000  0.0000  0.4789

Record 23
A plane-wave DFT calculation with GGA-PBEsol was carried out for a geometry-optimized NiIrRh2 structure.

Results
DOS(E_F)	5.44	states/eV per cell
symmetry	No. 99
distance to the lowest polymorph of the same formula	26	meV per atom
spin magnetization	0.0	μB/f.u.

Cell lengths 2.6691, 2.6691, 7.2427 Å; angles 90.00, 90.00, 90.00 degrees
Sites, in units of the cell vectors:
Ni  0.0000  0.0000  0.0000
Ir  0.5000  0.5000  0.7614
Rh  0.0000  0.0000  0.5012
Rh  0.5000  0.5000  0.2400

Record 24
A plane-wave DFT calculation with GGA-PBEsol was carried out for a geometry-optimized NiIrRh2 structure.

Results
DOS(E_F)	6.22	states/eV per cell
symmetry	No. 119
distance to the lowest polymorph of the same formula	27	meV per atom
spin magnetization	0.4	μB/f.u.

Cell lengths 4.5730, 4.5730, 4.5730 Å; angles 132.02, 132.02, 70.20 degrees
Sites, in units of the cell vectors:
Ni  0.0000  0.0000  0.0000
Ir  0.2500  0.7500  0.5000
Rh  0.5000  0.5000  0.0000
Rh  0.7500  0.2500  0.5000

Record 25
A plane-wave DFT calculation with GGA-PBEsol was carried out for a geometry-optimized Ni2IrRh structure.

Results
DOS(E_F)	6.87	states/eV per cell
symmetry	No. 166
distance to the lowest polymorph of the same formula	62	meV per atom
spin magnetization	0.0	μB/f.u.

Cell lengths 8.3438, 8.3438, 8.3438 Å; angles 18.13, 18.13, 18.13 degrees
Sites, in units of the cell vectors:
Ni  0.2500  0.2500  0.2500
Ni  0.7500  0.7500  0.7500
Ir  0.0000  0.0000  0.0000
Rh  0.5000  0.5000  0.5000

Record 26
A plane-wave DFT calculation with GGA-PBEsol was carried out for a geometry-optimized NiIrRh2 structure.

Results
DOS(E_F)	5.88	states/eV per cell
symmetry	No. 8
distance to the lowest polymorph of the same formula	22	meV per atom
spin magnetization	0.0	μB/f.u.

Cell lengths 4.5523, 4.5523, 4.5482 Å; angles 100.15, 100.15, 34.04 degrees
Sites, in units of the cell vectors:
Ni  0.0000  0.0000  0.0000
Ir  0.7455  0.7455  0.2469
Rh  0.2516  0.2516  0.7562
Rh  0.4970  0.4970  0.4937

Record 27
A plane-wave DFT calculation with GGA-PBEsol was carried out for a geometry-optimized NiIrRh2 structure.

Results
DOS(E_F)	6.27	states/eV per cell
symmetry	No. 216
distance to the lowest polymorph of the same formula	322	meV per atom
spin magnetization	0.0	μB/f.u.

Cell lengths 4.2069, 4.2069, 4.2069 Å; angles 60.00, 60.00, 60.00 degrees
Sites, in units of the cell vectors:
Ni  0.0000  0.0000  0.0000
Ir  0.7500  0.7500  0.7500
Rh  0.2500  0.2500  0.2500
Rh  0.5000  0.5000  0.5000

Record 28
A plane-wave DFT calculation with GGA-PBEsol was carried out for a geometry-optimized Ni2IrRh structure.

Results
DOS(E_F)	6.96	states/eV per cell
symmetry	No. 160
distance to the lowest polymorph of the same formula	80	meV per atom
spin magnetization	1.0	μB/f.u.

Cell lengths 8.3840, 8.3840, 8.3840 Å; angles 18.03, 18.03, 18.03 degrees
Sites, in units of the cell vectors:
Ni  0.0000  0.0000  0.0000
Ni  0.2558  0.2558  0.2558
Ir  0.7498  0.7498  0.7498
Rh  0.5058  0.5058  0.5058

Record 29
A plane-wave DFT calculation with GGA-PBEsol was carried out for a geometry-optimized NiIrRh2 structure.

Results
DOS(E_F)	5.69	states/eV per cell
symmetry	No. 166
distance to the lowest polymorph of the same formula	43	meV per atom
spin magnetization	0.7	μB/f.u.

Cell lengths 8.6258, 8.6258, 8.6258 Å; angles 17.74, 17.74, 17.74 degrees
Sites, in units of the cell vectors:
Ni  0.0000  0.0000  0.0000
Ir  0.5000  0.5000  0.5000
Rh  0.2529  0.2529  0.2529
Rh  0.7471  0.7471  0.7471

Record 30
A plane-wave DFT calculation with GGA-PBEsol was carried out for a geometry-optimized Ni2IrRh structure.

Results
DOS(E_F)	5.18	states/eV per cell
symmetry	No. 8
distance to the lowest polymorph of the same formula	20	meV per atom
spin magnetization	0.0	μB/f.u.

Cell lengths 4.4882, 4.4882, 4.3695 Å; angles 100.35, 100.35, 34.25 degrees
Sites, in units of the cell vectors:
Ni  0.0000  0.0000  0.0000
Ni  0.7470  0.7470  0.2366
Ir  0.4957  0.4957  0.4917
Rh  0.2476  0.2476  0.7403

Record 31
A plane-wave DFT calculation with GGA-PBEsol was carried out for a geometry-optimized Ni2IrRh structure.

Results
DOS(E_F)	6.84	states/eV per cell
symmetry	No. 12
distance to the lowest polymorph of the same formula	53	meV per atom
spin magnetization	0.0	μB/f.u.

Cell lengths 4.3825, 4.3825, 4.5430 Å; angles 99.91, 99.91, 34.85 degrees
Sites, in units of the cell vectors:
Ni  0.2483  0.2483  0.2463
Ni  0.7517  0.7517  0.7537
Ir  0.5000  0.5000  0.0000
Rh  0.0000  0.0000  0.5000